No. 1
This record from OQMD via LeMat-Bulk describes a relaxed structure of SmY2Mg3Ir2Pt. The functional is PBE-GGA.

Computed properties:
For the density, the calculation gives 8547 kg/m³. The calculation puts the total energy at -5.88 eV/atom.

a = 4.053 Å, b = 12.763 Å, c = 7.367 Å
α = 90.00°, β = 90.00°, γ = 90.00°
Space group Amm2 (No. 38)
Inequivalent atoms, fractional coordinates:
1 Sm 0.000 0.000 0.000 x2
2 Y 0.000 0.206 0.621 x4
3 Mg 0.500 0.000 0.661 x2
4 Mg 0.500 0.124 0.292 x4
5 Ir 0.500 0.168 0.915 x4
6 Pt 0.000 0.000 0.417 x2

No. 2
This record from OQMD via LeMat-Bulk describes a relaxed structure of Fe4CoSiB2. The functional is PBE-GGA.

Computed properties:
For the density, the calculation gives 7179 kg/m³. The calculation puts the total energy at -7.73 eV/atom.

a = 5.470 Å, b = 5.470 Å, c = 10.266 Å
α = 90.00°, β = 90.00°, γ = 90.00°
Space group I4/mcm (No. 140)
Inequivalent atoms, fractional coordinates:
1 Fe 0.166 0.334 0.137 x16
2 Co 0.000 0.000 0.000 x4
3 Si 0.000 0.000 0.250 x4
4 B 0.123 0.377 0.500 x8

No. 3
This record from OQMD via LeMat-Bulk describes a relaxed structure of YTmCd2Ag4. The functional is PBE-GGA.

Computed properties:
For the density, the calculation gives 8990 kg/m³. The formation energy from the elements is -0.297 eV per atom. The calculation puts the total energy at -3.30 eV/atom.

a = 4.921 Å, b = 4.921 Å, c = 6.971 Å
α = 90.00°, β = 90.00°, γ = 90.00°
Space group P4/mmm (No. 123)
Inequivalent atoms, fractional coordinates:
1 Y 0.000 0.000 0.000 x1
2 Tm 0.500 0.500 0.500 x1
3 Cd 0.000 0.000 0.500 x1
4 Cd 0.500 0.500 0.000 x1
5 Ag 0.000 0.500 0.255 x4

Number 1: total moment 0.01 μB/f.u.. Number 2: total moment 7.11 μB/f.u.. Number 3: total moment 0.01 μB/f.u..